# LiAl3Ni | Alexandria | PBE | relaxed
data_LiAl3Ni
_chemical_formula_sum 'Li1 Al3 Ni1'
_cell_length_a 4.269
_cell_length_b 4.269
_cell_length_c 4.269
_cell_angle_alpha 90.00
_cell_angle_beta 90.00
_cell_angle_gamma 90.00
_symmetry_space_group_name_H-M 'P m -3 m'
_symmetry_Int_Tables_number 221
_symmetry_space_group_name_Hall '-P 4 2 3'
loop_
_atom_site_label
_atom_site_fract_x
_atom_site_fract_y
_atom_site_fract_z
Li1 0.000 0.000 0.000
Al1 0.000 0.000 0.500
Ni1 0.500 0.500 0.500
# Fermi-level density of states   0.3264 states/eV/atom
# V   15.6 A^3/atom
# VASP energy   -3.1459 eV/atom
# Energy of formation   639 meV/atom
# E above lowest polymorph   916.4 meV/atom